a:
Computed, not measured: an optimized crystal structure of VCo3Te at the PBE-GGA level of DFT.

Calculated values
Magnetization in μB/cell: 0.0

Cell lengths 4.2938, 4.2938, 4.2938 Å; angles 90.00, 90.00, 90.00 degrees
Space group Pm-3m (No. 221)
One atom of each set of equivalent atoms:
V: 0.0000 0.0000 0.0000 [1 per cell]
Co: 0.0000 0.0000 0.5000 [3 per cell]
Te: 0.5000 0.5000 0.5000 [1 per cell]

b:
Computed, not measured: an optimized crystal structure of VCo3Te at the PBE-GGA level of DFT.

Calculated values
Magnetization in μB/cell: 6.0

Cell lengths 4.5596, 4.5596, 4.5596 Å; angles 90.00, 90.00, 90.00 degrees
Space group Pm-3m (No. 221)
One atom of each set of equivalent atoms:
V: 0.0000 0.0000 0.0000 [1 per cell]
Co: 0.0000 0.5000 0.5000 [3 per cell]
Te: 0.5000 0.5000 0.5000 [1 per cell]

Which structure is most stable, and how do the rest compare? From most to least stable: a, b.

a:
Computed, not measured: an optimized crystal structure of CoTe2W at the PBE-GGA level of DFT.

Calculated values
Magnetization in μB/cell: 0.0

Cell lengths 3.5524, 3.6058, 14.9853 Å; angles 90.00, 90.00, 90.00 degrees
Space group Imm2 (No. 44)
One atom of each set of equivalent atoms:
Co: 0.0000 0.0000 0.0000 [2 per cell]
Te: 0.0000 0.0000 0.5395 [2 per cell]
Te: 0.0000 0.5000 0.7962 [2 per cell]
W: 0.0000 0.5000 0.3919 [2 per cell]

b:
Computed, not measured: an optimized crystal structure of CoTe2W at the PBE-GGA level of DFT.

Calculated values
Magnetization in μB/cell: 0.1

Cell lengths 4.6359, 4.6359, 3.3494 Å; angles 90.00, 90.00, 90.00 degrees
Space group P4/mmm (No. 123)
One atom of each set of equivalent atoms:
Co: 0.0000 0.0000 0.0000 [1 per cell]
Te: 0.0000 0.5000 0.5000 [2 per cell]
W: 0.5000 0.5000 0.0000 [1 per cell]

Which structure is most stable, and how do the rest compare? From most to least stable: a, b.

a:
Computed, not measured: an optimized crystal structure of CoTe2W at the PBE-GGA level of DFT.

Calculated values
Magnetization in μB/cell: 1.9

Cell lengths 6.6059, 8.6731, 2.9071 Å; angles 90.00, 90.72, 90.00 degrees
Space group C2/m (No. 12)
One atom of each set of equivalent atoms:
Co: 0.0000 0.0000 0.0000 [2 per cell]
Te: 0.2500 0.2500 0.0000 [4 per cell]
W: 0.0000 0.5000 0.0000 [2 per cell]

b:
Computed, not measured: an optimized crystal structure of CoTe2W at the PBE-GGA level of DFT.

Calculated values
Magnetization in μB/cell: 0.0

Cell lengths 3.3856, 3.3856, 7.5544 Å; angles 90.00, 90.00, 90.00 degrees
Space group P4mm (No. 99)
One atom of each set of equivalent atoms:
Co: 0.0000 0.0000 0.0000 [1 per cell]
Te: 0.0000 0.0000 0.6316 [1 per cell]
Te: 0.5000 0.5000 0.1759 [1 per cell]
W: 0.5000 0.5000 0.8258 [1 per cell]

Which structure is most stable, and how do the rest compare? From most to least stable: b, a.

a:
Computed, not measured: an optimized crystal structure of CoTe2W at the PBE-GGA level of DFT.

Calculated values
Magnetization in μB/cell: 2.9

Cell lengths 3.3562, 3.3562, 23.1732 Å; angles 90.00, 90.00, 120.00 degrees
Space group R-3m (No. 166, hexagonal axes)
One atom of each set of equivalent atoms:
Co: 0.0000 0.0000 0.0000 [3 per cell]
Te: 0.0000 0.0000 0.2538 [6 per cell]
W: 0.0000 0.0000 0.5000 [3 per cell]

b:
Computed, not measured: an optimized crystal structure of CoTe2W at the PBE-GGA level of DFT.

Calculated values
Magnetization in μB/cell: 2.8

Cell lengths 3.5003, 5.3935, 8.2457 Å; angles 90.00, 90.00, 90.00 degrees
Space group Cmmm (No. 65)
One atom of each set of equivalent atoms:
Co: 0.0000 0.0000 0.0000 [2 per cell]
Te: 0.0000 0.5000 0.2359 [4 per cell]
W: 0.0000 0.0000 0.5000 [2 per cell]

c:
Computed, not measured: an optimized crystal structure of CoTe2W at the PBE-GGA level of DFT.

Calculated values
Magnetization in μB/cell: 3.4

Cell lengths 3.9642, 3.9642, 9.5905 Å; angles 90.00, 90.00, 90.00 degrees
Space group I-4m2 (No. 119)
One atom of each set of equivalent atoms:
Co: 0.0000 0.0000 0.0000 [2 per cell]
Te: 0.0000 0.0000 0.5000 [2 per cell]
Te: 0.0000 0.5000 0.7500 [2 per cell]
W: 0.0000 0.5000 0.2500 [2 per cell]

Which structure is most stable, and how do the rest compare? From most to least stable: a, c, b.

a:
Computed, not measured: an optimized crystal structure of CoTe2W at the PBE-GGA level of DFT.

Calculated values
Magnetization in μB/cell: 1.1

Cell lengths 3.3378, 3.3378, 6.5701 Å; angles 90.00, 90.00, 90.00 degrees
Space group P4/mmm (No. 123)
One atom of each set of equivalent atoms:
Co: 0.0000 0.0000 0.0000 [1 per cell]
Te: 0.5000 0.5000 0.2495 [2 per cell]
W: 0.0000 0.0000 0.5000 [1 per cell]

b:
Computed, not measured: an optimized crystal structure of CoTe2W at the PBE-GGA level of DFT.

Calculated values
Magnetization in μB/cell: 0.0

Cell lengths 6.7166, 3.8795, 7.2943 Å; angles 90.00, 107.95, 90.00 degrees
Space group Cm (No. 8)
One atom of each set of equivalent atoms:
Co: 0.0000 0.0000 0.0000 [2 per cell]
Te: 0.0409 0.5000 0.6237 [2 per cell]
Te: 0.2257 0.5000 0.1764 [2 per cell]
W: 0.2919 0.0000 0.8764 [2 per cell]

Which structure is most stable, and how do the rest compare? From most to least stable: b, a.

a:
Computed, not measured: an optimized crystal structure of Y3CoTe at the PBE-GGA level of DFT.

Calculated values
Magnetization in μB/cell: 0.0

Cell lengths 8.1469, 3.9386, 8.4710 Å; angles 90.00, 106.40, 90.00 degrees
Space group P2_1/m (No. 11)
One atom of each set of equivalent atoms:
Y: 0.0648 0.2500 0.2467 [2 per cell]
Y: 0.3049 0.2500 0.9310 [2 per cell]
Y: 0.3109 0.7500 0.5937 [2 per cell]
Co: 0.0574 0.2500 0.5778 [2 per cell]
Te: 0.3827 0.7500 0.2385 [2 per cell]

b:
Computed, not measured: an optimized crystal structure of Y3CoTe at the PBE-GGA level of DFT.

Calculated values
Magnetization in μB/cell: 0.0

Cell lengths 5.1849, 5.1849, 5.1849 Å; angles 90.00, 90.00, 90.00 degrees
Space group Pm-3m (No. 221)
One atom of each set of equivalent atoms:
Y: 0.0000 0.0000 0.5000 [3 per cell]
Co: 0.0000 0.0000 0.0000 [1 per cell]
Te: 0.5000 0.5000 0.5000 [1 per cell]

Which structure is most stable, and how do the rest compare? From most to least stable: a, b.

a:
Computed, not measured: an optimized crystal structure of Y4CoTe at the PBE-GGA level of DFT.

Calculated values
Magnetization in μB/cell: 5.1

Cell lengths 8.8249, 8.8249, 8.8249 Å; angles 90.00, 90.00, 90.00 degrees
Space group F-43m (No. 216)
One atom of each set of equivalent atoms:
Y: 0.1241 0.1241 0.1241 [16 per cell]
Co: 0.2500 0.2500 0.7500 [4 per cell]
Te: 0.0000 0.0000 0.5000 [4 per cell]

b:
Computed, not measured: an optimized crystal structure of Y4CoTe at the PBE-GGA level of DFT.

Calculated values
Magnetization in μB/cell: 0.0

Cell lengths 8.2470, 3.9115, 19.4059 Å; angles 90.00, 90.00, 90.00 degrees
Space group Pnma (No. 62)
One atom of each set of equivalent atoms:
Y: 0.0089 0.2500 0.0677 [4 per cell]
Y: 0.0386 0.7500 0.2170 [4 per cell]
Y: 0.1431 0.7500 0.6444 [4 per cell]
Y: 0.1439 0.7500 0.4529 [4 per cell]
Co: 0.2438 0.2500 0.5486 [4 per cell]
Te: 0.2397 0.2500 0.3125 [4 per cell]

Which structure is most stable, and how do the rest compare? From most to least stable: b, a.

a:
Computed, not measured: an optimized crystal structure of ZnCoTe3 at the PBE-GGA level of DFT.

Calculated values
Magnetization in μB/cell: 1.0

Cell lengths 5.0707, 5.0707, 5.0707 Å; angles 90.00, 90.00, 90.00 degrees
Space group Pm-3m (No. 221)
One atom of each set of equivalent atoms:
Zn: 0.0000 0.0000 0.0000 [1 per cell]
Co: 0.5000 0.5000 0.5000 [1 per cell]
Te: 0.0000 0.5000 0.5000 [3 per cell]

b:
Computed, not measured: an optimized crystal structure of ZnCoTe3 at the PBE-GGA level of DFT.

Calculated values
Magnetization in μB/cell: 2.5

Cell lengths 5.2541, 5.2541, 5.2541 Å; angles 90.00, 90.00, 90.00 degrees
Space group Pm-3m (No. 221)
One atom of each set of equivalent atoms:
Zn: 0.0000 0.0000 0.0000 [1 per cell]
Co: 0.5000 0.5000 0.5000 [1 per cell]
Te: 0.0000 0.0000 0.5000 [3 per cell]

Which structure is most stable, and how do the rest compare? From most to least stable: a, b.

a:
Computed, not measured: an optimized crystal structure of ZnCoTe at the PBE-GGA level of DFT.

Calculated values
Magnetization in μB/cell: 1.7

Cell lengths 11.4496, 3.3905, 5.8636 Å; angles 90.00, 90.00, 90.00 degrees
Space group Amm2 (No. 38)
One atom of each set of equivalent atoms:
Zn: 0.1358 0.0000 0.0000 [4 per cell]
Co: 0.0000 0.0000 0.3334 [2 per cell]
Co: 0.5000 0.0000 0.3237 [2 per cell]
Te: 0.3556 0.0000 0.6568 [4 per cell]

b:
Computed, not measured: an optimized crystal structure of ZnCoTe at the PBE-GGA level of DFT.

Calculated values
Magnetization in μB/cell: 0.0

Cell lengths 3.0582, 3.0582, 11.9758 Å; angles 90.00, 90.00, 90.00 degrees
Space group I4mm (No. 107)
One atom of each set of equivalent atoms:
Zn: 0.0000 0.0000 0.0000 [2 per cell]
Co: 0.0000 0.0000 0.3787 [2 per cell]
Te: 0.0000 0.0000 0.7515 [2 per cell]

c:
Computed, not measured: an optimized crystal structure of ZnCoTe at the PBE-GGA level of DFT.

Calculated values
Magnetization in μB/cell: 0.0

Cell lengths 3.5192, 3.5192, 8.0422 Å; angles 90.00, 90.00, 90.00 degrees
Space group I4mm (No. 107)
One atom of each set of equivalent atoms:
Zn: 0.0000 0.0000 0.0000 [2 per cell]
Co: 0.0000 0.0000 0.3272 [2 per cell]
Te: 0.0000 0.0000 0.6753 [2 per cell]

d:
Computed, not measured: an optimized crystal structure of ZnCoTe at the PBE-GGA level of DFT.

Calculated values
Magnetization in μB/cell: 0.0

Cell lengths 5.9440, 5.9440, 5.9440 Å; angles 90.00, 90.00, 90.00 degrees
Space group F-43m (No. 216)
One atom of each set of equivalent atoms:
Zn: 0.0000 0.0000 0.0000 [4 per cell]
Co: 0.2500 0.2500 0.2500 [4 per cell]
Te: 0.0000 0.0000 0.5000 [4 per cell]

Which structure is most stable, and how do the rest compare? From most to least stable: d, b, a, c.

a:
Computed, not measured: an optimized crystal structure of Zr3CoTe at the PBE-GGA level of DFT.

Calculated values
Magnetization in μB/cell: 0.0

Cell lengths 4.8652, 4.8652, 4.8652 Å; angles 90.00, 90.00, 90.00 degrees
Space group Pm-3m (No. 221)
One atom of each set of equivalent atoms:
Zr: 0.0000 0.0000 0.5000 [3 per cell]
Co: 0.0000 0.0000 0.0000 [1 per cell]
Te: 0.5000 0.5000 0.5000 [1 per cell]

b:
Computed, not measured: an optimized crystal structure of Zr3CoTe at the PBE-GGA level of DFT.

Calculated values
Magnetization in μB/cell: 0.0

Cell lengths 7.4957, 3.8948, 7.7630 Å; angles 90.00, 114.92, 90.00 degrees
Space group P2_1/m (No. 11)
One atom of each set of equivalent atoms:
Zr: 0.0374 0.2500 0.2153 [2 per cell]
Zr: 0.3201 0.2500 0.9106 [2 per cell]
Zr: 0.3335 0.7500 0.5838 [2 per cell]
Co: 0.0737 0.2500 0.5793 [2 per cell]
Te: 0.3287 0.7500 0.1935 [2 per cell]

Which structure is most stable, and how do the rest compare? From most to least stable: b, a.

a:
Computed, not measured: an optimized crystal structure of Zr4CoTe at the PBE-GGA level of DFT.

Calculated values
Magnetization in μB/cell: 0.0

Cell lengths 5.7656, 6.1162, 7.4357 Å; angles 90.00, 95.19, 90.00 degrees
Space group P2_1/m (No. 11)
One atom of each set of equivalent atoms:
Zr: 0.0975 0.2500 0.0596 [2 per cell]
Zr: 0.1221 0.7500 0.3515 [2 per cell]
Zr: 0.3830 0.5030 0.7850 [4 per cell]
Co: 0.3209 0.7500 0.0534 [2 per cell]
Te: 0.2911 0.2500 0.4391 [2 per cell]

b:
Computed, not measured: an optimized crystal structure of Zr4CoTe at the PBE-GGA level of DFT.

Calculated values
Magnetization in μB/cell: 2.8

Cell lengths 8.0569, 8.0569, 8.0569 Å; angles 90.00, 90.00, 90.00 degrees
Space group F-43m (No. 216)
One atom of each set of equivalent atoms:
Zr: 0.1242 0.1242 0.1242 [16 per cell]
Co: 0.2500 0.2500 0.7500 [4 per cell]
Te: 0.0000 0.0000 0.5000 [4 per cell]

Which structure is most stable, and how do the rest compare? From most to least stable: a, b.

a:
Computed, not measured: an optimized crystal structure of ZrCo3Te at the PBE-GGA level of DFT.

Calculated values
Magnetization in μB/cell: 1.7

Cell lengths 4.5293, 4.5293, 4.5293 Å; angles 90.00, 90.00, 90.00 degrees
Space group Pm-3m (No. 221)
One atom of each set of equivalent atoms:
Zr: 0.0000 0.0000 0.0000 [1 per cell]
Co: 0.0000 0.5000 0.5000 [3 per cell]
Te: 0.5000 0.5000 0.5000 [1 per cell]

b:
Computed, not measured: an optimized crystal structure of ZrCo3Te at the PBE-GGA level of DFT.

Calculated values
Magnetization in μB/cell: 2.1

Cell lengths 4.6102, 4.6102, 4.6102 Å; angles 90.00, 90.00, 90.00 degrees
Space group Pm-3m (No. 221)
One atom of each set of equivalent atoms:
Zr: 0.0000 0.0000 0.0000 [1 per cell]
Co: 0.0000 0.0000 0.5000 [3 per cell]
Te: 0.5000 0.5000 0.5000 [1 per cell]

Which structure is most stable, and how do the rest compare? From most to least stable: a, b.